First-principles (PBE) data for an optimized crystal structure of Pm2ScInC, as listed in Alexandria via LeMat-Bulk.

Density: 6.380 g/cm³
Spin magnetization: 0.0000 μB/atom
E: -29.97 eV/cell

Cell: 4.569 5.129 5.129 Å, 90.00 90.00 90.00°
Atoms (fractional coordinates):
In (0.500, 0.500, 0.500)
Sc (0.500, 0.000, 0.000)
Pm (0.000, 0.000, 0.500)
C (0.000, 0.000, 0.000)
Pm (0.000, 0.500, 0.000)